No. 1
DFT (PBE-GGA) results for AcPrNd2Tm after structural relaxation.

Size of the total moment (Bohr magnetons per cell): 0.00
Energy of formation from the pure elements (kJ/mol of formula units): 164

Cell lengths 8.314, 12.284, 7.457 Å; angles 90.00, 90.00, 90.00 degrees
Space group Cmcm (No. 63)
Unique sites:
1 Ac 0.000 0.243 0.250 (multiplicity 4)
2 Pr 0.000 0.063 0.750 (multiplicity 4)
3 Nd 0.197 0.500 0.000 (multiplicity 8)
4 Tm 0.000 0.311 0.750 (multiplicity 4)

No. 2
DFT (PBE-GGA) results for AcPr5Nd2Tm after structural relaxation.

Size of the total moment (Bohr magnetons per cell): 0.00
Energy of formation from the pure elements (kJ/mol of formula units): 224

Cell lengths 9.107, 9.107, 15.959 Å; angles 90.00, 90.00, 90.00 degrees
Space group I4/mcm (No. 140)
Unique sites:
1 Ac 0.000 0.000 0.250 (multiplicity 4)
2 Pr 0.000 0.000 0.000 (multiplicity 4)
3 Pr 0.205 0.295 0.134 (multiplicity 16)
4 Nd 0.116 0.384 0.500 (multiplicity 8)
5 Tm 0.000 0.500 0.250 (multiplicity 4)

- Look up the energy of formation from the pure elements of the first one.
  164 kJ/mol of formula units

- size of the total moment of number 1 (AcPrNd2Tm)?
  0.00 Bohr magnetons per cell

- Look up the size of the total moment of the first one.
  0.00 Bohr magnetons per cell

- Among the records above, which one has the highest energy of formation from the pure elements?
  AcPr5Nd2Tm